Record 1
Here is AlCo2Tc after structural relaxation from the Alexandria database. Energies are from PBE.

Cell lengths 2.6823, 2.6823, 24.5501 Å; angles 90.00, 90.00, 120.00 degrees
Space group R3m (No. 160, hexagonal axes)
Asymmetric unit:
Al  0.0000  0.0000  0.0000 [3 per cell]
Co  0.0000  0.0000  0.4924 [3 per cell]
Co  0.0000  0.0000  0.7474 [3 per cell]
Tc  0.0000  0.0000  0.2429 [3 per cell]

Calculated values
- Energy of formation from the pure elements: 0.0093 eV per atom

---

Record 2
Here is AlCoTc2 after structural relaxation from the Alexandria database. Energies are from PBE.

Cell lengths 6.868, 6.868, 4.978 Å; angles 90.00, 90.00, 90.00 degrees
Space group I-42d (No. 122)
Asymmetric unit:
Al  0.000  0.000  0.000 [4 per cell]
Co  0.000  0.000  0.500 [4 per cell]
Tc  0.217  0.250  0.625 [8 per cell]

Calculated values
- Energy of formation from the pure elements: 0.4231 eV per atom

---

Record 3
Here is AlCoTc2 after structural relaxation from the Alexandria database. Energies are from PBE.

Cell lengths 4.028, 2.702, 9.840 Å; angles 90.00, 90.00, 90.00 degrees
Space group Amm2 (No. 38)
Asymmetric unit:
Al  0.000  0.000  0.000 [2 per cell]
Co  0.500  0.000  0.124 [2 per cell]
Tc  0.000  0.000  0.739 [2 per cell]
Tc  0.500  0.000  0.380 [2 per cell]

Calculated values
- Energy of formation from the pure elements: -0.0897 eV per atom

---

Record 4
Here is AlCo2Tc after structural relaxation from the Alexandria database. Energies are from PBE.

Cell lengths 8.584, 2.664, 4.400 Å; angles 90.00, 101.61, 90.00 degrees
Space group Cm (No. 8)
Asymmetric unit:
Al  0.000  0.000  0.000 [2 per cell]
Co  0.011  0.500  0.515 [2 per cell]
Co  0.253  0.000  0.817 [2 per cell]
Tc  0.265  0.500  0.329 [2 per cell]

Calculated values
- Energy of formation from the pure elements: -0.1538 eV per atom

---

- Which of these has the highest energy of formation from the pure elements?
  number 2